(w)
BaLaSi2 after structural relaxation. Source: Alexandria via LeMat-Bulk, functional PBE-GGA.

Geometry as POSCAR:
```
BaLaSi2
1.0
4.498 0.000 0.000
0.000 4.498 0.000
0.000 0.000 6.535
Ba La Si
1 1 2
direct
0.000 0.000 0.000 Ba
0.500 0.500 0.469 La
0.000 0.000 0.509 Si
0.500 0.500 0.938 Si
```

Values from the calculation:
- Magnetization: 0.00 μB per cell

---

(x)
BaLaSi2 after structural relaxation. Source: Alexandria via LeMat-Bulk, functional PBE-GGA.

Geometry as POSCAR:
```
BaLaSi2
1.0
2.471 1.427 6.087
-2.471 1.427 6.087
0.000 -2.854 6.087
Ba La Si
1 1 2
direct
0.000 0.000 0.000 Ba
0.500 0.500 0.500 La
0.222 0.222 0.222 Si
0.778 0.778 0.778 Si
```

Values from the calculation:
- Magnetization: 0.00 μB per cell

---

Relative energies in eV/atom: (w) 0.176; (x) 0.000

---

(w)
BaLaSi2 after structural relaxation. Source: Alexandria via LeMat-Bulk, functional PBE-GGA.

Geometry as POSCAR:
```
BaLaSi2
1.0
5.430 -2.048 0.000
5.430 2.048 0.000
-4.750 0.000 6.092
Ba La Si
1 1 2
direct
0.000 0.000 0.000 Ba
0.500 0.500 0.500 La
0.236 0.236 0.571 Si
0.764 0.764 0.429 Si
```

Values from the calculation:
- Magnetization: 0.35 μB per cell

---

(x)
BaLaSi2 after structural relaxation. Source: Alexandria via LeMat-Bulk, functional PBE-GGA.

Geometry as POSCAR:
```
BaLaSi2
1.0
0.000 3.773 3.773
3.773 0.000 3.773
3.773 3.773 0.000
Ba La Si
1 1 2
direct
0.000 0.000 0.000 Ba
0.250 0.250 0.250 La
0.500 0.500 0.500 Si
0.750 0.750 0.750 Si
```

Values from the calculation:
- Magnetization: 0.00 μB per cell

---

(y)
BaLaSi2 after structural relaxation. Source: Alexandria via LeMat-Bulk, functional PBE-GGA.

Geometry as POSCAR:
```
BaLaSi2
1.0
4.031 0.000 0.000
0.000 2.331 6.099
0.000 -2.331 6.099
Ba La Si
1 1 2
direct
0.000 0.000 0.000 Ba
0.500 0.280 0.280 La
0.000 0.716 0.716 Si
0.500 0.597 0.597 Si
```

Values from the calculation:
- Magnetization: 0.00 μB per cell

---

Relative energies in eV/atom: (w) 0.142; (x) 0.786; (y) 0.000

---

(w)
BaLaSi2 after structural relaxation. Source: Alexandria via LeMat-Bulk, functional PBE-GGA.

Geometry as POSCAR:
```
BaLaSi2
1.0
-1.979 2.366 6.024
1.979 -2.366 6.024
1.979 2.366 -6.024
Ba La Si
1 1 2
direct
0.000 0.000 0.000 Ba
0.729 0.229 0.500 La
0.278 0.778 0.500 Si
0.400 0.400 0.000 Si
```

Values from the calculation:
- Magnetization: 0.00 μB per cell

---

(x)
BaLaSi2 after structural relaxation. Source: Alexandria via LeMat-Bulk, functional PBE-GGA.

Geometry as POSCAR:
```
BaLaSi2
1.0
3.577 0.000 0.000
0.000 3.577 0.000
0.000 0.000 8.736
Ba La Si
1 1 2
direct
0.000 0.000 0.000 Ba
0.000 0.000 0.500 La
0.500 0.500 0.269 Si
0.500 0.500 0.731 Si
```

Values from the calculation:
- Magnetization: 0.00 μB per cell

---

(y)
BaLaSi2 after structural relaxation. Source: Alexandria via LeMat-Bulk, functional PBE-GGA.

Geometry as POSCAR:
```
BaLaSi2
1.0
-2.550 2.550 4.283
2.550 -2.550 4.283
2.550 2.550 -4.283
Ba La Si
1 1 2
direct
0.000 0.000 0.000 Ba
0.500 0.500 0.000 La
0.250 0.750 0.500 Si
0.750 0.250 0.500 Si
```

Values from the calculation:
- Magnetization: 0.00 μB per cell

---

Relative energies in eV/atom: (w) 0.000; (x) 0.207; (y) 0.272

---

(w)
BaLaSi2 after structural relaxation. Source: Alexandria via LeMat-Bulk, functional PBE-GGA.

Geometry as POSCAR:
```
BaLaSi2
1.0
4.098 0.000 0.000
0.000 4.114 0.000
-0.027 0.000 6.918
Ba La Si
1 1 2
direct
0.000 0.000 0.000 Ba
0.000 0.000 0.500 La
0.499 0.500 0.327 Si
0.501 0.500 0.673 Si
```

Values from the calculation:
- Magnetization: 0.12 μB per cell

---

(x)
BaLaSi2 after structural relaxation. Source: Alexandria via LeMat-Bulk, functional PBE-GGA.

Geometry as POSCAR:
```
BaLaSi2
1.0
0.000 3.839 3.839
3.839 0.000 3.839
3.839 3.839 0.000
Ba La Si
1 1 2
direct
0.000 0.000 0.000 Ba
0.500 0.500 0.500 La
0.250 0.250 0.250 Si
0.750 0.750 0.750 Si
```

Values from the calculation:
- Magnetization: 0.00 μB per cell

---

(y)
BaLaSi2 after structural relaxation. Source: Alexandria via LeMat-Bulk, functional PBE-GGA.

Geometry as POSCAR:
```
BaLaSi2
1.0
2.323 -7.462 0.000
2.323 7.462 0.000
0.000 0.000 6.754
Ba La Si
2 2 4
direct
0.222 0.778 0.750 Ba
0.778 0.222 0.250 Ba
0.047 0.953 0.250 La
0.953 0.047 0.750 La
0.424 0.576 0.067 Si
0.424 0.576 0.433 Si
0.576 0.424 0.567 Si
0.576 0.424 0.933 Si
```

Values from the calculation:
- Magnetization: 0.93 μB per cell

---

(z)
BaLaSi2 after structural relaxation. Source: Alexandria via LeMat-Bulk, functional PBE-GGA.

Geometry as POSCAR:
```
BaLaSi2
1.0
3.514 0.000 0.000
0.000 3.514 0.000
0.000 0.000 9.206
Ba La Si
1 1 2
direct
0.000 0.000 0.000 Ba
0.500 0.500 0.416 La
0.000 0.000 0.641 Si
0.500 0.500 0.740 Si
```

Values from the calculation:
- Magnetization: 0.00 μB per cell

---

Relative energies in eV/atom: (w) 0.162; (x) 0.436; (y) 0.000; (z) 0.519

---

(w)
BaLaSi3 after structural relaxation. Source: Alexandria via LeMat-Bulk, functional PBE-GGA.

Geometry as POSCAR:
```
BaLaSi3
1.0
5.434 0.000 0.000
0.000 5.434 0.000
0.000 0.000 5.434
Ba La Si
1 1 3
direct
0.000 0.000 0.000 Ba
0.500 0.500 0.500 La
0.000 0.000 0.500 Si
0.000 0.500 0.000 Si
0.500 0.000 0.000 Si
```

Values from the calculation:
- Magnetization: 0.00 μB per cell

---

(x)
BaLaSi3 after structural relaxation. Source: Alexandria via LeMat-Bulk, functional PBE-GGA.

Geometry as POSCAR:
```
BaLaSi3
1.0
4.474 -7.084 0.000
4.474 7.084 0.000
0.000 0.000 4.396
Ba La Si
2 2 6
direct
0.000 0.000 0.000 Ba
0.500 0.500 0.000 Ba
0.000 0.500 0.000 La
0.500 0.000 0.000 La
0.145 0.320 0.500 Si
0.177 0.823 0.500 Si
0.320 0.145 0.500 Si
0.680 0.855 0.500 Si
0.823 0.177 0.500 Si
0.855 0.680 0.500 Si
```

Values from the calculation:
- Magnetization: 0.00 μB per cell

---

(y)
BaLaSi3 after structural relaxation. Source: Alexandria via LeMat-Bulk, functional PBE-GGA.

Geometry as POSCAR:
```
BaLaSi3
1.0
5.556 0.000 0.000
0.000 5.556 0.000
0.000 0.000 5.556
Ba La Si
1 1 3
direct
0.000 0.000 0.000 Ba
0.500 0.500 0.500 La
0.000 0.500 0.500 Si
0.500 0.000 0.500 Si
0.500 0.500 0.000 Si
```

Values from the calculation:
- Magnetization: 0.00 μB per cell

---

Relative energies in eV/atom: (w) 1.413; (x) 0.000; (y) 0.833

---

(w)
BaLa2Si2 after structural relaxation. Source: Alexandria via LeMat-Bulk, functional PBE-GGA.

Geometry as POSCAR:
```
BaLa2Si2
1.0
-2.448 2.448 6.437
2.448 -2.448 6.437
2.448 2.448 -6.437
Ba La Si
1 2 2
direct
0.000 0.000 0.000 Ba
0.250 0.750 0.500 La
0.750 0.250 0.500 La
0.405 0.405 0.000 Si
0.595 0.595 0.000 Si
```

Values from the calculation:
- Magnetization: 0.00 μB per cell

---

(x)
BaLa2Si2 after structural relaxation. Source: Alexandria via LeMat-Bulk, functional PBE-GGA.

Geometry as POSCAR:
```
BaLa2Si2
1.0
8.898 0.000 0.000
0.000 8.898 0.000
0.000 0.000 3.819
Ba La Si
2 4 4
direct
0.000 0.000 0.000 Ba
0.500 0.500 0.000 Ba
0.133 0.367 0.500 La
0.367 0.867 0.500 La
0.633 0.133 0.500 La
0.867 0.633 0.500 La
0.163 0.663 0.000 Si
0.337 0.163 0.000 Si
0.663 0.837 0.000 Si
0.837 0.337 0.000 Si
```

Values from the calculation:
- Magnetization: 0.00 μB per cell

---

Relative energies in eV/atom: (w) 0.043; (x) 0.000

---

(w)
BaLaSi4 after structural relaxation. Source: Alexandria via LeMat-Bulk, functional PBE-GGA.

Geometry as POSCAR:
```
BaLaSi4
1.0
7.872 0.000 0.000
0.000 16.037 0.000
0.000 0.000 4.743
Ba La Si
4 4 16
direct
0.126 0.154 0.000 Ba
0.374 0.654 0.000 Ba
0.626 0.346 0.000 Ba
0.874 0.846 0.000 Ba
0.133 0.412 0.000 La
0.367 0.912 0.000 La
0.633 0.088 0.000 La
0.867 0.588 0.000 La
0.022 0.693 0.500 Si
0.124 0.544 0.500 Si
0.124 0.954 0.500 Si
0.216 0.807 0.500 Si
0.284 0.307 0.500 Si
0.376 0.044 0.500 Si
0.376 0.454 0.500 Si
0.478 0.193 0.500 Si
0.522 0.807 0.500 Si
0.624 0.546 0.500 Si
0.624 0.956 0.500 Si
0.716 0.693 0.500 Si
0.784 0.193 0.500 Si
0.876 0.046 0.500 Si
0.876 0.456 0.500 Si
0.978 0.307 0.500 Si
```

Values from the calculation:
- Magnetization: 0.00 μB per cell

---

(x)
BaLaSi4 after structural relaxation. Source: Alexandria via LeMat-Bulk, functional PBE-GGA.

Geometry as POSCAR:
```
BaLaSi4
1.0
0.000 4.076 4.076
4.076 0.000 4.076
4.076 4.076 0.000
Ba La Si
1 1 4
direct
0.000 0.000 0.000 Ba
0.750 0.750 0.750 La
0.391 0.391 0.391 Si
0.391 0.391 0.827 Si
0.391 0.827 0.391 Si
0.827 0.391 0.391 Si
```

Values from the calculation:
- Magnetization: 0.00 μB per cell

---

Relative energies in eV/atom: (w) 0.000; (x) 0.159

---

(w)
BaLaSm2 after structural relaxation. Source: Alexandria via LeMat-Bulk, functional PBE-GGA.

Geometry as POSCAR:
```
BaLaSm2
1.0
1.854 1.070 13.169
-1.854 1.070 13.169
0.000 -2.141 13.169
Ba La Sm
1 1 2
direct
0.000 0.000 0.000 Ba
0.500 0.500 0.500 La
0.093 0.093 0.093 Sm
0.907 0.907 0.907 Sm
```

Values from the calculation:
- Magnetization: 0.00 μB per cell

---

(x)
BaLaSm2 after structural relaxation. Source: Alexandria via LeMat-Bulk, functional PBE-GGA.

Geometry as POSCAR:
```
BaLaSm2
1.0
3.795 0.000 0.000
0.000 3.795 0.000
0.000 0.000 10.978
Ba La Sm
1 1 2
direct
0.000 0.000 0.000 Ba
0.000 0.000 0.500 La
0.500 0.500 0.278 Sm
0.500 0.500 0.722 Sm
```

Values from the calculation:
- Magnetization: 0.00 μB per cell

---

Relative energies in eV/atom: (w) 0.079; (x) 0.000

---

(w)
BaLaSn3 after structural relaxation. Source: Alexandria via LeMat-Bulk, functional PBE-GGA.

Geometry as POSCAR:
```
BaLaSn3
1.0
5.983 0.000 0.000
0.000 5.983 0.000
0.000 0.000 5.983
Ba La Sn
1 1 3
direct
0.000 0.000 0.000 Ba
0.500 0.500 0.500 La
0.000 0.500 0.500 Sn
0.500 0.000 0.500 Sn
0.500 0.500 0.000 Sn
```

Values from the calculation:
- Magnetization: 0.00 μB per cell

---

(x)
BaLaSn3 after structural relaxation. Source: Alexandria via LeMat-Bulk, functional PBE-GGA.

Geometry as POSCAR:
```
BaLaSn3
1.0
2.466 -15.324 0.000
2.466 15.324 0.000
0.000 0.000 4.613
Ba La Sn
2 2 6
direct
0.077 0.923 0.750 Ba
0.923 0.077 0.250 Ba
0.203 0.797 0.250 La
0.797 0.203 0.750 La
0.309 0.691 0.250 Sn
0.372 0.628 0.750 Sn
0.472 0.528 0.750 Sn
0.528 0.472 0.250 Sn
0.628 0.372 0.250 Sn
0.691 0.309 0.750 Sn
```

Values from the calculation:
- Magnetization: 0.00 μB per cell

---

(y)
BaLaSn3 after structural relaxation. Source: Alexandria via LeMat-Bulk, functional PBE-GGA.

Geometry as POSCAR:
```
BaLaSn3
1.0
5.930 0.000 0.000
0.000 5.930 0.000
0.000 0.000 5.930
Ba La Sn
1 1 3
direct
0.000 0.000 0.000 Ba
0.500 0.500 0.500 La
0.000 0.000 0.500 Sn
0.000 0.500 0.000 Sn
0.500 0.000 0.000 Sn
```

Values from the calculation:
- Magnetization: 0.00 μB per cell

---

Relative energies in eV/atom: (w) 0.583; (x) 0.000; (y) 1.183